Version w
Entry from Alexandria via LeMat-Bulk: Sc2TiRh after structural relaxation (PBE).

Cell: 4.7059 4.7059 4.7059 Å, 60.00 60.00 60.00°
Fractional positions:
Sc 0.2500 0.2500 0.2500
Sc 0.7500 0.7500 0.7500
Ti 0.0000 0.0000 0.0000
Rh 0.5000 0.5000 0.5000

Summary:
As for the volume: 74 Å³ per cell. Its density of states at the Fermi level is 6.6 states/eV/f.u.

---

Version x
Entry from Alexandria via LeMat-Bulk: Sc2TiRh after structural relaxation (PBE).

Cell: 6.0294 6.0294 6.0294 Å, 103.00 103.00 123.37°
Fractional positions:
Sc 0.0798 0.6250 0.9548
Sc 0.3750 0.3298 0.4548
Sc 0.6702 0.1250 0.0452
Sc 0.8750 0.9202 0.5452
Ti 0.2500 0.7500 0.5000
Ti 0.5000 0.5000 0.0000
Rh 0.0000 0.0000 0.0000
Rh 0.7500 0.2500 0.5000

Summary:
As for the volume: 161 Å³ per cell. Its density of states at the Fermi level is 2.6 states/eV/f.u.

---

Energetically preferred structure: version w | next structure: +215 meV/atom

---

Version w
Entry from Alexandria via LeMat-Bulk: ScTi3Rh after structural relaxation (PBE).

Cell: 4.7416 4.7416 4.7416 Å, 90.00 90.00 90.00°
Fractional positions:
Sc 0.0000 0.0000 0.0000
Ti 0.0000 0.5000 0.5000
Ti 0.5000 0.0000 0.5000
Ti 0.5000 0.5000 0.0000
Rh 0.5000 0.5000 0.5000

Summary:
As for the volume: 107 Å³ per cell. Its density of states at the Fermi level is 9.3 states/eV/f.u.

---

Version x
Entry from Alexandria via LeMat-Bulk: ScTi3Rh after structural relaxation (PBE).

Cell: 4.5192 4.5192 4.5192 Å, 90.00 90.00 90.00°
Fractional positions:
Sc 0.0000 0.0000 0.0000
Ti 0.0000 0.0000 0.5000
Ti 0.0000 0.5000 0.0000
Ti 0.5000 0.0000 0.0000
Rh 0.5000 0.5000 0.5000

Summary:
As for the volume: 92 Å³ per cell. Its density of states at the Fermi level is 6.5 states/eV/f.u.

---

Energetically preferred structure: version w | next structure: +955 meV/atom

---

Version w
Entry from Alexandria via LeMat-Bulk: ScTlRh3 after structural relaxation (PBE).

Cell: 4.9004 4.9004 4.9004 Å, 90.00 90.00 90.00°
Fractional positions:
Sc 0.0000 0.0000 0.0000
Tl 0.5000 0.5000 0.5000
Rh 0.0000 0.5000 0.5000
Rh 0.5000 0.0000 0.5000
Rh 0.5000 0.5000 0.0000

Summary:
As for the volume: 118 Å³ per cell. Its density of states at the Fermi level is 5.3 states/eV/f.u.

---

Version x
Entry from Alexandria via LeMat-Bulk: ScTlRh3 after structural relaxation (PBE).

Cell: 4.6872 4.6872 4.6872 Å, 90.00 90.00 90.00°
Fractional positions:
Sc 0.0000 0.0000 0.0000
Tl 0.5000 0.5000 0.5000
Rh 0.0000 0.0000 0.5000
Rh 0.0000 0.5000 0.0000
Rh 0.5000 0.0000 0.0000

Summary:
As for the volume: 103 Å³ per cell. Its density of states at the Fermi level is 6.9 states/eV/f.u.

---

Energetically preferred structure: version x | next structure: +402 meV/atom

---

Version w
Entry from Alexandria via LeMat-Bulk: ScTl3Rh after structural relaxation (PBE).

Cell: 5.4622 5.4622 5.4622 Å, 90.00 90.00 90.00°
Fractional positions:
Sc 0.0000 0.0000 0.0000
Tl 0.0000 0.0000 0.5000
Tl 0.0000 0.5000 0.0000
Tl 0.5000 0.0000 0.0000
Rh 0.5000 0.5000 0.5000

Summary:
As for the volume: 163 Å³ per cell. Its density of states at the Fermi level is 6.9 states/eV/f.u.

---

Version x
Entry from Alexandria via LeMat-Bulk: ScTl3Rh after structural relaxation (PBE).

Cell: 5.1954 5.1954 5.1954 Å, 90.00 90.00 90.00°
Fractional positions:
Sc 0.0000 0.0000 0.0000
Tl 0.0000 0.5000 0.5000
Tl 0.5000 0.0000 0.5000
Tl 0.5000 0.5000 0.0000
Rh 0.5000 0.5000 0.5000

Summary:
As for the volume: 140 Å³ per cell. Its density of states at the Fermi level is 5.9 states/eV/f.u.

---

Energetically preferred structure: version x | next structure: +761 meV/atom

---

Version w
Entry from Alexandria via LeMat-Bulk: Sc3TlRh after structural relaxation (PBE).

Cell: 5.0101 5.0101 5.0101 Å, 90.00 90.00 90.00°
Fractional positions:
Sc 0.0000 0.0000 0.5000
Sc 0.0000 0.5000 0.0000
Sc 0.5000 0.0000 0.0000
Tl 0.5000 0.5000 0.5000
Rh 0.0000 0.0000 0.0000

Summary:
As for the volume: 126 Å³ per cell. Its density of states at the Fermi level is 5.1 states/eV/f.u.

---

Version x
Entry from Alexandria via LeMat-Bulk: Sc3TlRh after structural relaxation (PBE).

Cell: 9.0569 8.4252 5.4805 Å, 78.13 65.56 36.31°
Fractional positions:
Sc 0.1953 0.5819 0.4181
Sc 0.2023 0.2023 0.7977
Sc 0.4181 0.8047 0.1953
Sc 0.5819 0.1953 0.8047
Sc 0.7977 0.7977 0.2023
Sc 0.8047 0.4181 0.5819
Tl 0.2254 0.7746 0.7746
Tl 0.7746 0.2254 0.2254
Rh 0.2500 0.2500 0.2500
Rh 0.7500 0.7500 0.7500

Summary:
As for the volume: 219 Å³ per cell. Its density of states at the Fermi level is 4.3 states/eV/f.u.

---

Version y
Entry from Alexandria via LeMat-Bulk: Sc3TlRh after structural relaxation (PBE).

Cell: 5.2421 5.2421 5.2421 Å, 90.00 90.00 90.00°
Fractional positions:
Sc 0.0000 0.0000 0.5000
Sc 0.0000 0.5000 0.0000
Sc 0.5000 0.0000 0.0000
Tl 0.0000 0.0000 0.0000
Rh 0.5000 0.5000 0.5000

Summary:
As for the volume: 144 Å³ per cell. Its density of states at the Fermi level is 6.7 states/eV/f.u.

---

Version z
Entry from Alexandria via LeMat-Bulk: Sc3TlRh after structural relaxation (PBE).

Cell: 6.8029 6.8029 6.8029 Å, 90.00 90.00 90.00°
Fractional positions:
Sc 0.0000 0.0000 0.0000
Sc 0.2721 0.2721 0.2721
Sc 0.2721 0.2721 0.7279
Sc 0.2721 0.7279 0.2721
Sc 0.2721 0.7279 0.7279
Sc 0.7279 0.2721 0.2721
Sc 0.7279 0.2721 0.7279
Sc 0.7279 0.7279 0.2721
Sc 0.7279 0.7279 0.7279
Tl 0.0000 0.0000 0.5000
Tl 0.0000 0.5000 0.0000
Tl 0.5000 0.0000 0.0000
Rh 0.0000 0.5000 0.5000
Rh 0.5000 0.0000 0.5000
Rh 0.5000 0.5000 0.0000

Summary:
As for the volume: 315 Å³ per cell. Its density of states at the Fermi level is 4.8 states/eV/f.u.

---

Energetically preferred structure: version x | next structure: +56 meV/atom

---

Version w
Entry from Alexandria via LeMat-Bulk: Tm3ScRh2 after structural relaxation (PBE).

Cell: 8.1333 8.1333 8.1333 Å, 132.84 71.71 129.33°
Fractional positions:
Tm 0.0225 0.7500 0.2725
Tm 0.2500 0.2500 0.0000
Tm 0.4775 0.7500 0.7275
Tm 0.5225 0.2500 0.2725
Tm 0.7500 0.7500 0.0000
Tm 0.9775 0.2500 0.7275
Sc 0.0000 0.5000 0.5000
Sc 0.5000 0.0000 0.5000
Rh 0.1360 0.2151 0.3511
Rh 0.3640 0.7151 0.0791
Rh 0.6360 0.2849 0.9209
Rh 0.8640 0.7849 0.6489

Summary:
As for the volume: 299 Å³ per cell. Its density of states at the Fermi level is 4.8 states/eV/f.u.

---

Version x
Entry from Alexandria via LeMat-Bulk: Tm3ScRh2 after structural relaxation (PBE).

Cell: 7.8723 7.8723 4.5396 Å, 106.67 106.67 30.21°
Fractional positions:
Tm 0.0000 0.0000 0.0000
Tm 0.3169 0.3169 0.8164
Tm 0.6831 0.6831 0.1836
Sc 0.5000 0.5000 0.5000
Rh 0.1278 0.1278 0.6268
Rh 0.8722 0.8722 0.3732

Summary:
As for the volume: 135 Å³ per cell. Its density of states at the Fermi level is 3.9 states/eV/f.u.

---

Energetically preferred structure: version x | next structure: +18 meV/atom